DFT (GGA-PBE) results for a relaxed structure of ErZrAlZn.

Calculated values
As for the space group: F-43m (216).

POSCAR file:
```
ErZrAlZn
1.0
4.8801 0.0000 0.0000
2.4400 4.2263 0.0000
2.4400 1.4088 3.9846
Zn Al Er Zr
1 1 1 1
Direct
0.7500 0.7500 0.7500
0.2500 0.2500 0.2500
0.5000 0.5000 0.5000
0.0000 0.0000 0.0000
```

***

DFT (GGA-PBE) results for a relaxed structure of ErZr2Al.

Calculated values
Its energy above the most stable polymorph in this dataset is 193 meV/atom. As for the space group: Cm (8).

POSCAR file:
```
ErZr2Al
1.0
-0.1249 0.1867 3.2460
-2.3078 -1.6126 1.6312
5.3106 -8.5083 2.3010
Er Al Zr
1 1 2
Direct
0.4998 0.4998 0.5004
0.6664 0.6664 0.0006
0.2556 0.2556 0.2322
0.0782 0.0782 0.7668
```

***

DFT (GGA-PBE) results for a relaxed structure of Er7ZrAl4.

Calculated values
As for the space group: C2/m (12).

POSCAR file:
```
Er7ZrAl4
1.0
5.3775 0.0000 0.0000
2.6887 8.3810 0.4370
2.6887 0.6846 6.8883
Er Al Zr
7 4 1
Direct
0.2082 0.1182 0.4655
0.9331 0.3922 0.7416
0.0669 0.6078 0.2584
0.7169 0.3334 0.2327
0.2831 0.6666 0.7673
0.7918 0.8818 0.5345
0.5000 0.0000 0.0000
0.4477 0.7531 0.3514
0.5523 0.2469 0.6486
0.3235 0.3379 0.0151
0.6765 0.6621 0.9849
0.0000 0.0000 0.0000
```

***

DFT (GGA-PBE) results for a relaxed structure of ErZrAl.

Calculated values
Its energy above the most stable polymorph in this dataset is 23 meV/atom. As for the space group: I4mm (107).

POSCAR file:
```
ErZrAl
1.0
-0.3797 -0.7504 -3.1610
0.7704 -3.1125 0.6463
-6.4314 0.6085 2.3204
Zr Al Er
1 1 1
Direct
0.3199 0.3199 0.6398
0.6730 0.6730 0.3460
0.0071 0.0071 0.0142
```

***

DFT (GGA-PBE) results for a relaxed structure of ErZr2Al.

Calculated values
Its energy above the most stable polymorph in this dataset is 33 meV/atom. As for the space group: P2_1/m (11).

POSCAR file:
```
ErZr2Al
1.0
4.2211 0.0000 0.0000
0.0000 4.3123 -0.8524
0.0000 -0.1281 10.6143
Er Zr Al
2 4 2
Direct
0.2500 0.3083 0.6142
0.7500 0.6917 0.3858
0.7500 0.4417 0.8823
0.2500 0.9448 0.8885
0.2500 0.5583 0.1177
0.7500 0.0552 0.1115
0.7500 0.8434 0.6845
0.2500 0.1566 0.3155
```

***

DFT (GGA-PBE) results for a relaxed structure of ErZrAl2.

Calculated values
Its energy above the most stable polymorph in this dataset is 216 meV/atom. As for the space group: R-3m (166).

POSCAR file:
```
ErZrAl2
1.0
-3.2023 -1.0539 0.1719
-0.6907 -3.3042 0.0189
-0.7910 -1.5066 9.1720
Zr Er Al
1 1 2
Direct
0.0000 0.0000 0.0000
0.5000 0.5000 0.5000
0.2535 0.2535 0.2394
0.7465 0.7465 0.7606
```

***

DFT (GGA-PBE) results for a relaxed structure of ErZrAl.

Calculated values
Its energy above the most stable polymorph in this dataset is 34 meV/atom. As for the space group: P-62m (189).

POSCAR file:
```
ErZrAl
1.0
4.4314 0.0000 0.0000
0.0000 7.4930 0.0000
0.0000 -3.7465 6.4891
Zr Er Al
3 3 3
Direct
0.5000 0.7605 0.0000
0.5000 0.2395 0.2395
0.5000 0.0000 0.7605
0.0000 0.0000 0.4185
0.0000 0.5815 0.5815
0.0000 0.4185 0.0000
0.5000 0.3333 0.6667
0.5000 0.6667 0.3333
0.0000 0.0000 0.0000
```

***

DFT (GGA-PBE) results for a relaxed structure of ErZrAl2.

Calculated values
Its energy above the most stable polymorph in this dataset is 54 meV/atom. As for the space group: Fm-3m (225).

POSCAR file:
```
ErZrAl2
1.0
-3.2824 -3.1097 -1.9209
-2.4502 -3.0985 2.9207
-4.7962 0.6738 0.8229
Al Er Zr
2 1 1
Direct
0.7500 0.7500 0.7500
0.2500 0.2500 0.2500
0.0000 0.0000 0.0000
0.5000 0.5000 0.5000
```

***

DFT (GGA-PBE) results for a relaxed structure of Er4ZrAl5.

Calculated values
As for the space group: P4/mmm (123).

POSCAR file:
```
Er4ZrAl5
1.0
3.5753 0.0000 0.0000
0.0000 3.5753 0.0000
0.0000 0.0000 17.2306
Al Er Zr
5 4 1
Direct
0.5000 0.5000 0.7059
0.5000 0.5000 0.2941
0.5000 0.5000 0.0847
0.5000 0.5000 0.9153
0.5000 0.5000 0.5000
0.0000 0.0000 0.8082
0.0000 0.0000 0.3967
0.0000 0.0000 0.1918
0.0000 0.0000 0.6033
0.0000 0.0000 0.0000
```

***

DFT (GGA-PBE) results for a relaxed structure of ErZr2Al.

Calculated values
Its energy above the most stable polymorph in this dataset is 0 meV/atom. As for the space group: P4/mmm (123).

POSCAR file:
```
ErZr2Al
1.0
-3.0352 -1.7754 2.7314
-1.0113 -3.0612 -3.1136
3.1194 -2.7429 1.6835
Al Er Zr
1 1 2
Direct
0.5000 0.0000 0.0000
0.5000 0.5000 0.5000
0.0000 0.5000 0.0000
0.0000 0.0000 0.5000
```

***

DFT (GGA-PBE) results for a relaxed structure of ErZr2Al.

Calculated values
Its energy above the most stable polymorph in this dataset is 165 meV/atom. As for the space group: Fm-3m (225).

POSCAR file:
```
ErZr2Al
1.0
5.0037 0.0000 0.0000
2.5019 4.3334 0.0000
2.5019 1.4445 4.0850
Er Al Zr
1 1 2
Direct
0.5000 0.5000 0.5000
0.0000 0.0000 0.0000
0.2500 0.2500 0.2500
0.7500 0.7500 0.7500
```

***

DFT (GGA-PBE) results for a relaxed structure of ErZrAl.

Calculated values
Its energy above the most stable polymorph in this dataset is 278 meV/atom. As for the space group: P-6m2 (187).

POSCAR file:
```
ErZrAl
1.0
-1.3584 1.9133 -1.8997
-4.2681 -0.4392 2.6097
3.3270 3.5623 1.2088
Al Er Zr
1 1 1
Direct
0.6664 0.6667 0.3333
0.1662 0.0000 0.0000
0.1674 0.3333 0.6667
```

***

Calculated total energy across the listed records, respectively: -4.8467, -6.3645, -4.6518, -5.8481, -6.5249, -5.2900, -5.8368, -5.4525, -4.9265, -6.5578, -6.3931, -5.5923 eV/atom.
Energy of formation from the pure elements across the listed records, respectively: -0.31, -0.01, -0.03, -0.23, -0.17, -0.14, -0.22, -0.30, -0.38, -0.21, -0.04, 0.03 eV per atom.